a:
# Nd2CuAs, relaxed, DFT PBE
# Crystal system ... trigonal
# Volume ... 27.164 Å³/atom
data_Nd2CuAs
_chemical_formula_sum 'Nd6 Cu3 As3'
_space_group_name_H-M_alt 'R -3 m'
_space_group_IT_number 166
_space_group_name_Hall '-R 3 2"'
_cell_length_a 4.2294
_cell_length_b 4.2294
_cell_length_c 21.0417
_cell_angle_alpha 90.00
_cell_angle_beta 90.00
_cell_angle_gamma 120.00
loop_
_atom_site_label
_atom_site_fract_x
_atom_site_fract_y
_atom_site_fract_z
Nd1 0.0000 0.0000 0.2468
Cu1 0.0000 0.0000 0.0000
As1 0.0000 0.0000 0.5000



b:
# Nd2CuAs, relaxed, DFT PBE
# Crystal system ... tetragonal
# Volume ... 23.826 Å³/atom
data_Nd2CuAs
_chemical_formula_sum 'Nd2 Cu1 As1'
_space_group_name_H-M_alt 'P 4/m m m'
_space_group_IT_number 123
_space_group_name_Hall '-P 4 2'
_cell_length_a 5.011
_cell_length_b 5.011
_cell_length_c 3.795
_cell_angle_alpha 90.00
_cell_angle_beta 90.00
_cell_angle_gamma 90.00
loop_
_atom_site_label
_atom_site_fract_x
_atom_site_fract_y
_atom_site_fract_z
Nd1 0.000 0.500 0.000
Cu1 0.000 0.000 0.500
As1 0.500 0.500 0.500



The relative energies come out as a 0.000; b 0.037, with values in eV/atom.



a:
# CuNi2As2, relaxed, DFT PBE
# Crystal system ... tetragonal
# Volume ... 14.116 Å³/atom
data_CuNi2As2
_chemical_formula_sum 'Cu2 Ni4 As4'
_space_group_name_H-M_alt 'P 4/m b m'
_space_group_IT_number 127
_space_group_name_Hall '-P 4 2ab'
_cell_length_a 6.929
_cell_length_b 6.929
_cell_length_c 2.940
_cell_angle_alpha 90.00
_cell_angle_beta 90.00
_cell_angle_gamma 90.00
loop_
_atom_site_label
_atom_site_fract_x
_atom_site_fract_y
_atom_site_fract_z
Cu1 0.000 0.000 0.000
Ni1 0.133 0.367 0.500
As1 0.165 0.665 0.000



b:
# CuNi2As2, relaxed, DFT PBE
# Crystal system ... tetragonal
# Volume ... 13.961 Å³/atom
data_CuNi2As2
_chemical_formula_sum 'Cu2 Ni4 As4'
_space_group_name_H-M_alt 'P 4/m b m'
_space_group_IT_number 127
_space_group_name_Hall '-P 4 2ab'
_cell_length_a 6.691
_cell_length_b 6.691
_cell_length_c 3.119
_cell_angle_alpha 90.00
_cell_angle_beta 90.00
_cell_angle_gamma 90.00
loop_
_atom_site_label
_atom_site_fract_x
_atom_site_fract_y
_atom_site_fract_z
Cu1 0.000 0.000 0.000
Ni1 0.135 0.365 0.000
As1 0.166 0.666 0.500



The relative energies come out as a 0.043; b 0.000, with values in eV/atom.



a:
# CuNiAs3, relaxed, DFT PBE
# Crystal system ... cubic
# Volume ... 19.501 Å³/atom
data_CuNiAs3
_chemical_formula_sum 'Cu1 Ni1 As3'
_space_group_name_H-M_alt 'P m -3 m'
_space_group_IT_number 221
_space_group_name_Hall '-P 4 2 3'
_cell_length_a 4.603
_cell_length_b 4.603
_cell_length_c 4.603
_cell_angle_alpha 90.00
_cell_angle_beta 90.00
_cell_angle_gamma 90.00
loop_
_atom_site_label
_atom_site_fract_x
_atom_site_fract_y
_atom_site_fract_z
Cu1 0.000 0.000 0.000
Ni1 0.500 0.500 0.500
As1 0.000 0.500 0.500



b:
# CuNiAs3, relaxed, DFT PBE
# Crystal system ... cubic
# Volume ... 19.956 Å³/atom
data_CuNiAs3
_chemical_formula_sum 'Cu1 Ni1 As3'
_space_group_name_H-M_alt 'P m -3 m'
_space_group_IT_number 221
_space_group_name_Hall '-P 4 2 3'
_cell_length_a 4.638
_cell_length_b 4.638
_cell_length_c 4.638
_cell_angle_alpha 90.00
_cell_angle_beta 90.00
_cell_angle_gamma 90.00
loop_
_atom_site_label
_atom_site_fract_x
_atom_site_fract_y
_atom_site_fract_z
Cu1 0.000 0.000 0.000
Ni1 0.500 0.500 0.500
As1 0.000 0.000 0.500



The relative energies come out as a 0.000; b 0.285, with values in eV/atom.



a:
# Cu2AsO4, relaxed, DFT PBE
# Crystal system ... monoclinic
# Volume ... 10.856 Å³/atom
data_Cu2AsO4
_chemical_formula_sum 'Cu4 As2 O8'
_space_group_name_H-M_alt 'C 1 2/m 1'
_space_group_IT_number 12
_cell_length_a 10.171
_cell_length_b 2.939
_cell_length_c 5.415
_cell_angle_alpha 90.00
_cell_angle_beta 110.12
_cell_angle_gamma 90.00
loop_
_space_group_symop_operation_xyz
'x,y,z'
'-x,-y,-z'
'-x,y,-z'
'x,-y,z'
'x+1/2,y+1/2,z'
'-x+1/2,-y+1/2,-z'
'-x+1/2,y+1/2,-z'
'x+1/2,-y+1/2,z'
loop_
_atom_site_label
_atom_site_fract_x
_atom_site_fract_y
_atom_site_fract_z
Cu1 0.137 0.000 0.081
As1 0.000 0.500 0.500
O1 0.099 0.000 0.408
O2 0.134 0.500 0.833



b:
# Cu2AsO4, relaxed, DFT PBE
# Crystal system ... tetragonal
# Volume ... 13.764 Å³/atom
data_Cu2AsO4
_chemical_formula_sum 'Cu4 As2 O8'
_space_group_name_H-M_alt 'I -4 2 m'
_space_group_IT_number 121
_space_group_name_Hall 'I -4 2'
_cell_length_a 5.507
_cell_length_b 5.507
_cell_length_c 6.355
_cell_angle_alpha 90.00
_cell_angle_beta 90.00
_cell_angle_gamma 90.00
loop_
_atom_site_label
_atom_site_fract_x
_atom_site_fract_y
_atom_site_fract_z
Cu1 0.000 0.500 0.000
As1 0.000 0.000 0.000
O1 0.207 0.207 0.106



The relative energies come out as a 0.000; b 0.075, with values in eV/atom.



a:
# CuAs3O, relaxed, DFT PBE
# Crystal system ... cubic
# Volume ... 16.661 Å³/atom
data_CuAs3O
_chemical_formula_sum 'Cu1 As3 O1'
_space_group_name_H-M_alt 'P m -3 m'
_space_group_IT_number 221
_space_group_name_Hall '-P 4 2 3'
_cell_length_a 4.367
_cell_length_b 4.367
_cell_length_c 4.367
_cell_angle_alpha 90.00
_cell_angle_beta 90.00
_cell_angle_gamma 90.00
loop_
_atom_site_label
_atom_site_fract_x
_atom_site_fract_y
_atom_site_fract_z
Cu1 0.000 0.000 0.000
As1 0.000 0.500 0.500
O1 0.500 0.500 0.500



b:
# CuAs3O, relaxed, DFT PBE
# Crystal system ... cubic
# Volume ... 20.202 Å³/atom
data_CuAs3O
_chemical_formula_sum 'Cu1 As3 O1'
_space_group_name_H-M_alt 'P m -3 m'
_space_group_IT_number 221
_space_group_name_Hall '-P 4 2 3'
_cell_length_a 4.657
_cell_length_b 4.657
_cell_length_c 4.657
_cell_angle_alpha 90.00
_cell_angle_beta 90.00
_cell_angle_gamma 90.00
loop_
_atom_site_label
_atom_site_fract_x
_atom_site_fract_y
_atom_site_fract_z
Cu1 0.000 0.000 0.000
As1 0.000 0.000 0.500
O1 0.500 0.500 0.500



The relative energies come out as a 0.000; b 0.563, with values in eV/atom.



a:
# CuAs2O6, relaxed, DFT PBE
# Crystal system ... trigonal
# Volume ... 10.331 Å³/atom
data_CuAs2O6
_chemical_formula_sum 'Cu1 As2 O6'
_space_group_name_H-M_alt 'P -3 1 m'
_space_group_IT_number 162
_space_group_name_Hall '-P 3 2'
_cell_length_a 4.8648
_cell_length_b 4.8648
_cell_length_c 4.5364
_cell_angle_alpha 90.00
_cell_angle_beta 90.00
_cell_angle_gamma 120.00
loop_
_atom_site_label
_atom_site_fract_x
_atom_site_fract_y
_atom_site_fract_z
Cu1 0.0000 0.0000 0.0000
As1 0.3333 0.6667 0.5000
O1 0.0000 0.3628 0.2738



b:
# CuAs2O6, relaxed, DFT PBE
# Crystal system ... monoclinic
# Volume ... 13.383 Å³/atom
data_CuAs2O6
_chemical_formula_sum 'Cu4 As8 O24'
_space_group_name_H-M_alt 'C 1 2/c 1'
_space_group_IT_number 15
_cell_length_a 10.361
_cell_length_b 9.138
_cell_length_c 5.401
_cell_angle_alpha 90.00
_cell_angle_beta 109.58
_cell_angle_gamma 90.00
loop_
_space_group_symop_operation_xyz
'x,y,z'
'-x,-y,-z'
'-x,y,-z+1/2'
'x,-y,z+1/2'
'x+1/2,y+1/2,z'
'-x+1/2,-y+1/2,-z'
'-x+1/2,y+1/2,-z+1/2'
'x+1/2,-y+1/2,z+1/2'
loop_
_atom_site_label
_atom_site_fract_x
_atom_site_fract_y
_atom_site_fract_z
Cu1 0.000 0.103 0.250
As1 0.217 0.403 0.258
O1 0.109 0.074 0.635
O2 0.139 0.497 0.461
O3 0.155 0.232 0.207



The relative energies come out as a 0.000; b 0.025, with values in eV/atom.



a:
# CuAsP2O, relaxed, DFT PBE
# Crystal system ... tetragonal
# Volume ... 15.409 Å³/atom
data_CuAsP2O
_chemical_formula_sum 'Cu1 As1 P2 O1'
_space_group_name_H-M_alt 'P 4/m m m'
_space_group_IT_number 123
_space_group_name_Hall '-P 4 2'
_cell_length_a 4.655
_cell_length_b 4.655
_cell_length_c 3.556
_cell_angle_alpha 90.00
_cell_angle_beta 90.00
_cell_angle_gamma 90.00
loop_
_atom_site_label
_atom_site_fract_x
_atom_site_fract_y
_atom_site_fract_z
Cu1 0.000 0.000 0.000
As1 0.500 0.500 0.500
P1 0.000 0.500 0.000
O1 0.000 0.000 0.500



b:
# CuAsP2O, relaxed, DFT PBE
# Crystal system ... tetragonal
# Volume ... 16.481 Å³/atom
data_CuAsP2O
_chemical_formula_sum 'Cu1 As1 P2 O1'
_space_group_name_H-M_alt 'P 4/m m m'
_space_group_IT_number 123
_space_group_name_Hall '-P 4 2'
_cell_length_a 4.821
_cell_length_b 4.821
_cell_length_c 3.545
_cell_angle_alpha 90.00
_cell_angle_beta 90.00
_cell_angle_gamma 90.00
loop_
_atom_site_label
_atom_site_fract_x
_atom_site_fract_y
_atom_site_fract_z
Cu1 0.000 0.000 0.000
As1 0.500 0.500 0.500
P1 0.000 0.500 0.500
O1 0.500 0.500 0.000



The relative energies come out as a 0.000; b 0.078, with values in eV/atom.



a:
# CuAsPbO5, relaxed, DFT PBE
# Crystal system ... monoclinic
# Volume ... 15.964 Å³/atom
data_CuAsPbO5
_chemical_formula_sum 'Cu4 As4 Pb4 O20'
_space_group_name_H-M_alt 'C 1 2/c 1'
_space_group_IT_number 15
_cell_length_a 8.299
_cell_length_b 8.701
_cell_length_c 8.130
_cell_angle_alpha 90.00
_cell_angle_beta 119.52
_cell_angle_gamma 90.00
loop_
_space_group_symop_operation_xyz
'x,y,z'
'-x,-y,-z'
'-x,y,-z+1/2'
'x,-y,z+1/2'
'x+1/2,y+1/2,z'
'-x+1/2,-y+1/2,-z'
'-x+1/2,y+1/2,-z+1/2'
'x+1/2,-y+1/2,z+1/2'
loop_
_atom_site_label
_atom_site_fract_x
_atom_site_fract_y
_atom_site_fract_z
Cu1 0.000 0.186 0.250
As1 0.000 0.134 0.750
Pb1 0.000 0.500 0.000
O1 0.000 0.396 0.250
O2 0.006 0.239 0.930
O3 0.173 0.010 0.334



b:
# CuAsPbO5, relaxed, DFT PBE
# Crystal system ... orthorhombic
# Volume ... 14.515 Å³/atom
data_CuAsPbO5
_chemical_formula_sum 'Cu4 As4 Pb4 O20'
_space_group_name_H-M_alt 'P 21 21 21'
_space_group_IT_number 19
_cell_length_a 6.096
_cell_length_b 8.584
_cell_length_c 8.877
_cell_angle_alpha 90.00
_cell_angle_beta 90.00
_cell_angle_gamma 90.00
loop_
_space_group_symop_operation_xyz
'x,y,z'
'-x+1/2,-y,z+1/2'
'x+1/2,-y+1/2,-z'
'-x,y+1/2,-z+1/2'
loop_
_atom_site_label
_atom_site_fract_x
_atom_site_fract_y
_atom_site_fract_z
Cu1 0.239 0.238 0.493
As1 0.020 0.877 0.291
Pb1 0.057 0.383 0.838
O1 0.002 0.346 0.568
O2 0.019 0.545 0.111
O3 0.074 0.730 0.417
O4 0.229 0.349 0.307
O5 0.248 0.117 0.673



The relative energies come out as a 0.062; b 0.000, with values in eV/atom.



a:
# TlCuAsO4, relaxed, DFT PBE
# Crystal system ... monoclinic
# Volume ... 17.195 Å³/atom
data_TlCuAsO4
_chemical_formula_sum 'Tl8 Cu8 As8 O32'
_space_group_name_H-M_alt 'C 1 2/c 1'
_space_group_IT_number 15
_cell_length_a 7.121
_cell_length_b 7.256
_cell_length_c 18.670
_cell_angle_alpha 90.00
_cell_angle_beta 93.44
_cell_angle_gamma 90.00
loop_
_space_group_symop_operation_xyz
'x,y,z'
'-x,-y,-z'
'-x,y,-z+1/2'
'x,-y,z+1/2'
'x+1/2,y+1/2,z'
'-x+1/2,-y+1/2,-z'
'-x+1/2,y+1/2,-z+1/2'
'x+1/2,-y+1/2,z+1/2'
loop_
_atom_site_label
_atom_site_fract_x
_atom_site_fract_y
_atom_site_fract_z
Tl1 0.011 0.207 0.064
Cu1 0.249 0.073 0.750
As1 0.019 0.322 0.852
O1 0.111 0.122 0.660
O2 0.111 0.477 0.161
O3 0.126 0.327 0.935
O4 0.192 0.322 0.786



b:
# TlCuAsO4, relaxed, DFT PBE
# Crystal system ... tetragonal
# Volume ... 16.963 Å³/atom
data_TlCuAsO4
_chemical_formula_sum 'Tl2 Cu2 As2 O8'
_space_group_name_H-M_alt 'I -4'
_space_group_IT_number 82
_cell_length_a 6.025
_cell_length_b 6.025
_cell_length_c 6.543
_cell_angle_alpha 90.00
_cell_angle_beta 90.00
_cell_angle_gamma 90.00
loop_
_space_group_symop_operation_xyz
'x,y,z'
'y,-x,-z'
'-x,-y,z'
'-y,x,-z'
'x+1/2,y+1/2,z+1/2'
'y+1/2,-x+1/2,-z+1/2'
'-x+1/2,-y+1/2,z+1/2'
'-y+1/2,x+1/2,-z+1/2'
loop_
_atom_site_label
_atom_site_fract_x
_atom_site_fract_y
_atom_site_fract_z
Tl1 0.000 0.000 0.000
Cu1 0.000 0.000 0.500
As1 0.000 0.500 0.250
O1 0.112 0.713 0.396



The relative energies come out as a 0.000; b 0.092, with values in eV/atom.



a:
# CuAs2Os, relaxed, DFT PBE
# Crystal system ... orthorhombic
# Volume ... 17.143 Å³/atom
data_CuAs2Os
_chemical_formula_sum 'Cu2 As4 Os2'
_space_group_name_H-M_alt 'C m m 2'
_space_group_IT_number 35
_cell_length_a 2.913
_cell_length_b 4.853
_cell_length_c 9.701
_cell_angle_alpha 90.00
_cell_angle_beta 90.00
_cell_angle_gamma 90.00
loop_
_space_group_symop_operation_xyz
'x,y,z'
'-x,-y,z'
'-x,y,z'
'x,-y,z'
'x+1/2,y+1/2,z'
'-x+1/2,-y+1/2,z'
'-x+1/2,y+1/2,z'
'x+1/2,-y+1/2,z'
loop_
_atom_site_label
_atom_site_fract_x
_atom_site_fract_y
_atom_site_fract_z
Cu1 0.000 0.000 0.000
As1 0.000 0.000 0.433
As2 0.000 0.500 0.790
Os1 0.000 0.500 0.225



b:
# CuAs2Os, relaxed, DFT PBE
# Crystal system ... trigonal
# Volume ... 15.577 Å³/atom
data_CuAs2Os
_chemical_formula_sum 'Cu3 As6 Os3'
_space_group_name_H-M_alt 'R -3 m'
_space_group_IT_number 166
_space_group_name_Hall '-R 3 2"'
_cell_length_a 3.0724
_cell_length_b 3.0724
_cell_length_c 22.8663
_cell_angle_alpha 90.00
_cell_angle_beta 90.00
_cell_angle_gamma 120.00
loop_
_atom_site_label
_atom_site_fract_x
_atom_site_fract_y
_atom_site_fract_z
Cu1 0.0000 0.0000 0.0000
As1 0.0000 0.0000 0.2483
Os1 0.0000 0.0000 0.5000



The relative energies come out as a 0.203; b 0.000, with values in eV/atom.



a:
# CuAsOs3, relaxed, DFT PBE
# Crystal system ... cubic
# Volume ... 17.795 Å³/atom
data_CuAsOs3
_chemical_formula_sum 'Cu1 As1 Os3'
_space_group_name_H-M_alt 'P m -3 m'
_space_group_IT_number 221
_space_group_name_Hall '-P 4 2 3'
_cell_length_a 4.464
_cell_length_b 4.464
_cell_length_c 4.464
_cell_angle_alpha 90.00
_cell_angle_beta 90.00
_cell_angle_gamma 90.00
loop_
_atom_site_label
_atom_site_fract_x
_atom_site_fract_y
_atom_site_fract_z
Cu1 0.000 0.000 0.000
As1 0.500 0.500 0.500
Os1 0.000 0.000 0.500



b:
# CuAsOs3, relaxed, DFT PBE
# Crystal system ... cubic
# Volume ... 18.390 Å³/atom
data_CuAsOs3
_chemical_formula_sum 'Cu1 As1 Os3'
_space_group_name_H-M_alt 'P m -3 m'
_space_group_IT_number 221
_space_group_name_Hall '-P 4 2 3'
_cell_length_a 4.514
_cell_length_b 4.514
_cell_length_c 4.514
_cell_angle_alpha 90.00
_cell_angle_beta 90.00
_cell_angle_gamma 90.00
loop_
_atom_site_label
_atom_site_fract_x
_atom_site_fract_y
_atom_site_fract_z
Cu1 0.000 0.000 0.000
As1 0.500 0.500 0.500
Os1 0.000 0.500 0.500



The relative energies come out as a 0.353; b 0.000, with values in eV/atom.